Record 1
## CdIn4I5 (PBE)

Data for an optimized crystal structure of CdIn4I5.

Total DFT energy (no corrections)   -2.34 eV per atom

Lattice parameters (Å, degrees): 8.4841 8.4841 8.4841 99.38 99.38 132.38
Closest atoms and distances in Å follow each position.
Fractional positions:
1 Cd 0.0000 0.0000 0.0000  6 I 3.36-3.43
2 In 0.1955 0.5925 0.7922  6 I 3.43-3.52
3 In 0.4033 0.1955 0.6030  6 I 3.43-3.52
4 In 0.5925 0.8003 0.3970  6 I 3.43-3.52
5 In 0.8003 0.4033 0.2078  6 I 3.43-3.52
6 I 0.0995 0.2869 0.3905  1 Cd 3.36, 5 In 3.43-3.52
7 I 0.2869 0.8964 0.1874  1 Cd 3.36, 5 In 3.43-3.52
8 I 0.4998 0.4998 0.0000  2 Cd 3.42-3.43, 4 In 3.48
9 I 0.7090 0.0995 0.8126  1 Cd 3.36, 5 In 3.43-3.52
10 I 0.8964 0.7090 0.6095  1 Cd 3.36, 5 In 3.43-3.52

Record 2
## CdIn2I4 (PBE)

Data for an optimized crystal structure of CdIn2I4.

Energy above the lowest structure with this stoichiometry   15.5 meV/atom

Lattice parameters (Å, degrees): 8.6528 8.6528 4.5279 90.00 90.00 105.87
Closest atoms and distances in Å follow each position.
Fractional positions:
1 Cd 0.0000 0.0000 0.0000  6 I 3.04-3.08
2 In 0.0000 0.5000 0.5000  6 I 3.48-3.49
3 In 0.5000 0.0000 0.5000  6 I 3.48-3.49
4 I 0.2006 0.2006 0.5000  2 Cd 3.08
5 I 0.2202 0.7798 0.0000  1 Cd 3.04
6 I 0.7798 0.2202 0.0000  1 Cd 3.04
7 I 0.7994 0.7994 0.5000  2 Cd 3.08

Record 3
## CdIn5I8 (PBE)

Data for an optimized crystal structure of CdIn5I8.

Total DFT energy (no corrections)   -2.37 eV per atom

Lattice parameters (Å, degrees): 9.7349 9.7349 9.7349 105.21 105.21 118.37
Closest atoms and distances in Å follow each position.
Fractional positions:
1 Cd 0.0000 0.0000 0.0000  4 I 2.85
2 In 0.1245 0.1185 0.4961  6 I 3.39-3.63
3 In 0.2500 0.7500 0.5000  4 I 3.03
4 In 0.3717 0.8755 0.9940  6 I 3.39-3.63
5 In 0.6224 0.6283 0.5039  6 I 3.39-3.63
6 In 0.8815 0.3776 0.0060  6 I 3.39-3.63
7 I 0.3200 0.5567 0.6749  2 In 3.03-3.39
8 I 0.3431 0.1764 0.2498  1 Cd 2.85
9 I 0.3549 0.6800 0.2367  2 In 3.03-3.39
10 I 0.4433 0.1182 0.7633  2 In 3.03-3.39
11 I 0.8236 0.0734 0.1667  1 Cd 2.85
12 I 0.8818 0.6451 0.3251  2 In 3.03-3.39
13 I 0.9067 0.6569 0.8333  1 Cd 2.85
14 I 0.9266 0.0933 0.7502  1 Cd 2.85

Record 4
## CdIn2I6 (PBE)

Data for an optimized crystal structure of CdIn2I6.

Energy above the lowest structure with this stoichiometry   4.3 meV/atom

Lattice parameters (Å, degrees): 9.3426 9.3426 9.3426 48.98 48.98 48.98
Closest atoms and distances in Å follow each position.
Fractional positions:
1 Cd 0.0000 0.0000 0.0000  6 I 3.12-3.13
2 In 0.6124 0.6124 0.6124  1 In 2.72, 3 I 2.83
3 In 0.7229 0.7229 0.7229  1 In 2.72, 3 I 2.83
4 I 0.0844 0.3830 0.7921  1 In 2.83, 1 Cd 3.13
5 I 0.2118 0.9112 0.6195  1 In 2.83, 1 Cd 3.12
6 I 0.3830 0.7921 0.0844  1 In 2.83, 1 Cd 3.13
7 I 0.6195 0.2118 0.9112  1 In 2.83, 1 Cd 3.12
8 I 0.7921 0.0844 0.3830  1 In 2.83, 1 Cd 3.13
9 I 0.9112 0.6195 0.2118  1 In 2.83, 1 Cd 3.12

Record 5
## CdIn2I (PBE)

Data for an optimized crystal structure of CdIn2I.

Energy above the lowest structure with this stoichiometry   128.2 meV/atom

Lattice parameters (Å, degrees): 9.3139 9.3139 9.3139 138.80 138.80 59.68
Closest atoms and distances in Å follow each position.
Fractional positions:
1 Cd 0.0000 0.0000 0.0000  4 In 2.88
2 Cd 0.7500 0.2500 0.5000  4 In 2.88
3 In 0.0654 0.6250 0.9404  2 Cd 2.88
4 In 0.3750 0.3154 0.4404  2 Cd 2.88
5 In 0.6846 0.1250 0.0596  2 Cd 2.88
6 In 0.8750 0.9346 0.5596  2 Cd 2.88
7 I 0.2500 0.7500 0.5000  4 In 3.30
8 I 0.5000 0.5000 0.0000  4 In 3.30

Record 6
## Cd2InI6 (PBE)

Data for an optimized crystal structure of Cd2InI6.

Energy above the lowest structure with this stoichiometry   53.5 meV/atom

Lattice parameters (Å, degrees): 7.6082 7.6082 9.5170 102.27 102.27 45.77
Closest atoms and distances in Å follow each position.
Fractional positions:
1 Cd 0.2233 0.2233 0.1666  5 I 2.80-3.05
2 Cd 0.7767 0.7767 0.8334  5 I 2.80-3.05
3 In 0.0000 0.0000 0.5000  2 I 3.01
4 I 0.0182 0.0182 0.1913  1 Cd 2.94, 1 In 3.01
5 I 0.3052 0.3052 0.9110  3 Cd 2.92-3.05
6 I 0.3591 0.3591 0.4333  1 Cd 2.80
7 I 0.6409 0.6409 0.5667  1 Cd 2.80
8 I 0.6948 0.6948 0.0890  3 Cd 2.92-3.05
9 I 0.9818 0.9818 0.8087  1 Cd 2.94, 1 In 3.01